! LaAs2P (GGA-PBE, relaxed); values from VASP
&SYSTEM
  ibrav = 0, nat = 4, ntyp = 3
/
ATOMIC_SPECIES
La 138.91 La.upf
As 74.92 As.upf
P 30.97 P.upf
ATOMIC_POSITIONS crystal
La 0.000 0.000 0.000
As 0.500 0.500 0.000
As 0.750 0.250 0.500
P 0.250 0.750 0.500
CELL_PARAMETERS angstrom
-2.113 2.113 4.864
2.113 -2.113 4.864
2.113 2.113 -4.864
! - formation enthalpy at 0 K (meV per atom) = -461.1
! - spin magnetization (Bohr magnetons per cell) = 0.00
! - symmetry = I-4m2, No. 119
! - total energy (Ry per atom) = -0.3947